Entry 1:
This record from the Alexandria database describes crystalline DyThTl3 at its relaxed geometry. The functional is PBE.

a b c (Å): 6.5382 7.2957 7.2957
angles (deg): 119.96 90.00 90.00
Closest atoms and distances in Å follow each position.
Sites, in units of the cell vectors:
Dy 0.0000 0.0000 0.0000  6 Tl 3.00, 2 Dy 3.27
Dy 0.5000 0.0000 0.0000  6 Tl 3.00, 2 Dy 3.27
Th 0.2500 0.3334 0.6666  12 Tl 3.67-3.69
Th 0.7500 0.6666 0.3334  12 Tl 3.67-3.69
Tl 0.2500 0.8012 0.1988  2 Tl 2.95, 2 Dy 3.00
Tl 0.7500 0.1988 0.8012  2 Tl 2.95, 2 Dy 3.00
Tl 0.2500 0.8011 0.6026  2 Tl 2.95, 2 Dy 3.00
Tl 0.7500 0.1989 0.3974  2 Tl 2.95, 2 Dy 3.00
Tl 0.2500 0.3974 0.1989  2 Tl 2.95, 2 Dy 3.00
Tl 0.7500 0.6026 0.8011  2 Tl 2.95, 2 Dy 3.00

Computed properties:
- total magnetization (μB/cell) = 0.00
- ΔE_f (eV per atom) = 0.036

Entry 2:
This record from the Alexandria database describes crystalline BTeSe2Br at its relaxed geometry. The functional is PBE.

a b c (Å): 5.3990 5.3990 5.5375
angles (deg): 90.00 90.00 90.00
Closest atoms and distances in Å follow each position.
Sites, in units of the cell vectors:
B 0.5000 0.5000 0.5000  4 Br 3.82, 8 Se 3.87
Te 0.0000 0.0000 0.0000  4 Se 2.70, 2 Br 2.77
Se 0.0000 0.5000 0.0000  2 Te 2.70
Se 0.5000 0.0000 0.0000  2 Te 2.70
Br 0.0000 0.0000 0.5000  2 Te 2.77

Computed properties:
- formation energy (no corrections) (kJ/mol of formula units) = 583
- total magnetization (μB/cell) = 0.00

Q: Which value of total magnetization does entry 2 give?
A: 0.00 μB/cell

Repeat the second record exactly.
This record from the Alexandria database describes crystalline BTeSe2Br at its relaxed geometry. The functional is PBE.

a b c (Å): 5.3990 5.3990 5.5375
angles (deg): 90.00 90.00 90.00
Closest atoms and distances in Å follow each position.
Sites, in units of the cell vectors:
B 0.5000 0.5000 0.5000  4 Br 3.82, 8 Se 3.87
Te 0.0000 0.0000 0.0000  4 Se 2.70, 2 Br 2.77
Se 0.0000 0.5000 0.0000  2 Te 2.70
Se 0.5000 0.0000 0.0000  2 Te 2.70
Br 0.0000 0.0000 0.5000  2 Te 2.77

Computed properties:
- formation energy (no corrections) (kJ/mol of formula units) = 583
- total magnetization (μB/cell) = 0.00

Q: Look up the total magnetization of the first one.
A: 0.00 μB/cell